{"formula": "CaCoO2", "functional": "GGA+U", "state": "relaxed", "cell": [[-0.887, 1.235, -2.861], [5.697, -4.489, -3.703], [-4.901, -6.862, -1.442]], "species": ["Ca", "Ca", "Ca", "Ca", "O", "O", "O", "O", "O", "O", "O", "O", "Co", "Co", "Co", "Co"], "frac_coords": [[0.250, 0.908, 0.276], [0.750, 0.092, 0.724], [0.250, 0.705, 0.948], [0.750, 0.295, 0.052], [0.250, 0.457, 0.189], [0.750, 0.796, 0.099], [0.250, 0.266, 0.583], [0.250, 0.204, 0.901], [0.750, 0.129, 0.293], [0.250, 0.871, 0.707], [0.750, 0.543, 0.811], [0.750, 0.734, 0.417], [0.750, 0.744, 0.635], [0.250, 0.256, 0.365], [0.250, 0.411, 0.742], [0.750, 0.589, 0.258]], "polymorph_energy_ev_per_atom": 0.062, "dos_ef_per_ev_atom": 0.000, "space_group": "No. 11"}